A plane-wave DFT calculation with PBE-GGA was carried out for crystalline Nb2Pd at its relaxed geometry.

Lattice parameters (Å, degrees): 6.900 6.797 2.825 80.16 76.05 23.79
Sites, in units of the cell vectors:
Nb: 0.337 0.337 0.663
Nb: 0.663 0.663 0.337
Pd: 0.000 0.000 0.000

Values from the calculation:
Energy relative to the elements = -23 kJ/mol of atoms
Total moment = 0.00 μB/f.u.